The following is a PBE-GGA calculation of a relaxed Pm6ScPb4 crystal, from Alexandria.

Unit cell a=3.6379 b=10.4970 c=10.4970 alpha=120.00 beta=90.00 gamma=90.00
Site moments in Bohr magnetons follow the coordinates.
Sites, in units of the cell vectors:
Pm (0.0000, 0.9138, 0.4569)  0.25
Pm (0.5000, 0.1907, 0.3813)  0.15
Pm (0.0000, 0.5431, 0.4569)  0.25
Pm (0.0000, 0.5431, 0.0862)  0.25
Pm (0.5000, 0.1907, 0.8093)  0.15
Pm (0.5000, 0.6187, 0.8093)  0.15
Pb (0.5000, 0.3011, 0.1506)  -0.01
Pb (0.5000, 0.8494, 0.1506)  -0.01
Pb (0.0000, 0.3333, 0.6667)  -0.01
Pb (0.5000, 0.8494, 0.6989)  -0.01
Sc (0.0000, 0.0000, 0.0000)  0.16

Computed properties:
As for the space group: P-6m2. The formation energy is -0.304 eV per atom. The value obtained for the total energy is -4.8194 eV per atom. The value obtained for the total magnetic moment is 0.253 μB/atom. The crystal system is hexagonal.